Arrangement a

# Li2CaBr GGA-PBE relaxed
data_Li2CaBr
_space_group_name_H-M_alt 'P m m m'
_space_group_IT_number 47
_cell_length_a 3.801
_cell_length_b 4.729
_cell_length_c 6.171
_cell_angle_alpha 90.00
_cell_angle_beta 90.00
_cell_angle_gamma 90.00
loop_
_space_group_symop_operation_xyz
'x,y,z'
'-x,-y,-z'
'-x,-y,z'
'x,y,-z'
'x,-y,-z'
'-x,y,z'
'-x,y,-z'
'x,-y,z'
loop_
_atom_site_label
_atom_site_type_symbol
_atom_site_fract_x
_atom_site_fract_y
_atom_site_fract_z
_atom_site_occupancy
Li1 Li 0.000 0.000 0.000 1
Li2 Li 0.500 0.500 0.000 1
Ca1 Ca 0.000 0.500 0.500 1
Br1 Br 0.500 0.000 0.500 1
# Total magnetic moment: 0.00 μB/cell

Arrangement b

# Li2CaBr GGA-PBE relaxed
data_Li2CaBr
_space_group_name_H-M_alt 'I 4/m m m'
_space_group_IT_number 139
_space_group_name_Hall '-I 4 2'
_cell_length_a 4.211
_cell_length_b 4.211
_cell_length_c 12.853
_cell_angle_alpha 90.00
_cell_angle_beta 90.00
_cell_angle_gamma 90.00
loop_
_atom_site_label
_atom_site_type_symbol
_atom_site_fract_x
_atom_site_fract_y
_atom_site_fract_z
_atom_site_occupancy
Li1 Li 0.000 0.500 0.250 1
Ca1 Ca 0.000 0.000 0.000 1
Br1 Br 0.000 0.000 0.500 1
# Total magnetic moment: 0.00 μB/cell

Arrangement c

# Li2CaBr GGA-PBE relaxed
data_Li2CaBr
_space_group_name_H-M_alt 'I -4 m 2'
_space_group_IT_number 119
_space_group_name_Hall 'I -4 -2'
_cell_length_a 4.434
_cell_length_b 4.434
_cell_length_c 10.738
_cell_angle_alpha 90.00
_cell_angle_beta 90.00
_cell_angle_gamma 90.00
loop_
_atom_site_label
_atom_site_type_symbol
_atom_site_fract_x
_atom_site_fract_y
_atom_site_fract_z
_atom_site_occupancy
Li1 Li 0.000 0.000 0.000 1
Li2 Li 0.000 0.500 0.250 1
Ca1 Ca 0.000 0.000 0.500 1
Br1 Br 0.000 0.500 0.750 1
# Total magnetic moment: 2.00 μB/cell

Arrangement d

# Li2CaBr GGA-PBE relaxed
data_Li2CaBr
_space_group_name_H-M_alt 'C m m 2'
_space_group_IT_number 35
_cell_length_a 3.985
_cell_length_b 6.272
_cell_length_c 9.041
_cell_angle_alpha 90.00
_cell_angle_beta 90.00
_cell_angle_gamma 90.00
loop_
_space_group_symop_operation_xyz
'x,y,z'
'-x,-y,z'
'-x,y,z'
'x,-y,z'
'x+1/2,y+1/2,z'
'-x+1/2,-y+1/2,z'
'-x+1/2,y+1/2,z'
'x+1/2,-y+1/2,z'
loop_
_atom_site_label
_atom_site_type_symbol
_atom_site_fract_x
_atom_site_fract_y
_atom_site_fract_z
_atom_site_occupancy
Li1 Li 0.000 0.000 0.000 1
Li2 Li 0.000 0.500 0.263 1
Ca1 Ca 0.000 0.000 0.551 1
Br1 Br 0.000 0.500 0.805 1
# Total magnetic moment: 0.00 μB/cell

arrangement d is preferred energetically. Next in line: 0.075 eV/atom higher.

Arrangement a

# Li2CaBr GGA-PBE relaxed
data_Li2CaBr
_space_group_name_H-M_alt 'P 1 2/m 1'
_space_group_IT_number 10
_cell_length_a 5.818
_cell_length_b 3.846
_cell_length_c 5.854
_cell_angle_alpha 90.00
_cell_angle_beta 119.25
_cell_angle_gamma 90.00
loop_
_space_group_symop_operation_xyz
'x,y,z'
'-x,-y,-z'
'-x,y,-z'
'x,-y,z'
loop_
_atom_site_label
_atom_site_type_symbol
_atom_site_fract_x
_atom_site_fract_y
_atom_site_fract_z
_atom_site_occupancy
Li1 Li 0.183 0.000 0.313 1
Ca1 Ca 0.500 0.500 0.000 1
Br1 Br 0.000 0.500 0.500 1
# Total magnetic moment: 0.00 μB/cell

Arrangement b

# Li2CaBr GGA-PBE relaxed
data_Li2CaBr
_space_group_name_H-M_alt 'P 1 m 1'
_space_group_IT_number 6
_cell_length_a 4.018
_cell_length_b 3.807
_cell_length_c 7.108
_cell_angle_alpha 90.00
_cell_angle_beta 106.38
_cell_angle_gamma 90.00
loop_
_space_group_symop_operation_xyz
'x,y,z'
'x,-y,z'
loop_
_atom_site_label
_atom_site_type_symbol
_atom_site_fract_x
_atom_site_fract_y
_atom_site_fract_z
_atom_site_occupancy
Li1 Li 0.000 0.000 0.000 1
Li2 Li 0.418 0.500 0.836 1
Ca1 Ca 0.648 0.500 0.299 1
Br1 Br 0.261 0.000 0.524 1
# Total magnetic moment: 0.00 μB/cell

Arrangement c

# Li2CaBr GGA-PBE relaxed
data_Li2CaBr
_space_group_name_H-M_alt 'P 4/m m m'
_space_group_IT_number 123
_space_group_name_Hall '-P 4 2'
_cell_length_a 3.952
_cell_length_b 3.952
_cell_length_c 6.820
_cell_angle_alpha 90.00
_cell_angle_beta 90.00
_cell_angle_gamma 90.00
loop_
_atom_site_label
_atom_site_type_symbol
_atom_site_fract_x
_atom_site_fract_y
_atom_site_fract_z
_atom_site_occupancy
Li1 Li 0.000 0.000 0.224 1
Ca1 Ca 0.500 0.500 0.500 1
Br1 Br 0.500 0.500 0.000 1
# Total magnetic moment: 0.00 μB/cell

Arrangement d

# Li2CaBr GGA-PBE relaxed
data_Li2CaBr
_space_group_name_H-M_alt 'F m -3 m'
_space_group_IT_number 225
_space_group_name_Hall '-F 4 2 3'
_cell_length_a 7.708
_cell_length_b 7.708
_cell_length_c 7.708
_cell_angle_alpha 90.00
_cell_angle_beta 90.00
_cell_angle_gamma 90.00
loop_
_atom_site_label
_atom_site_type_symbol
_atom_site_fract_x
_atom_site_fract_y
_atom_site_fract_z
_atom_site_occupancy
Li1 Li 0.250 0.250 0.250 1
Ca1 Ca 0.000 0.000 0.000 1
Br1 Br 0.000 0.000 0.500 1
# Total magnetic moment: 3.92 μB/cell

arrangement b is preferred energetically. Next in line: 0.008 eV/atom higher.

Arrangement a

# Li2CaBr GGA-PBE relaxed
data_Li2CaBr
_space_group_name_H-M_alt 'I m m m'
_space_group_IT_number 71
_space_group_name_Hall '-I 2 2'
_cell_length_a 3.546
_cell_length_b 5.137
_cell_length_c 11.698
_cell_angle_alpha 90.00
_cell_angle_beta 90.00
_cell_angle_gamma 90.00
loop_
_atom_site_label
_atom_site_type_symbol
_atom_site_fract_x
_atom_site_fract_y
_atom_site_fract_z
_atom_site_occupancy
Li1 Li 0.000 0.000 0.219 1
Ca1 Ca 0.000 0.500 0.000 1
Br1 Br 0.000 0.500 0.500 1
# Total magnetic moment: 0.00 μB/cell

Arrangement b

# Li2CaBr GGA-PBE relaxed
data_Li2CaBr
_space_group_name_H-M_alt 'F -4 3 m'
_space_group_IT_number 216
_space_group_name_Hall 'F -4 2 3'
_cell_length_a 7.610
_cell_length_b 7.610
_cell_length_c 7.610
_cell_angle_alpha 90.00
_cell_angle_beta 90.00
_cell_angle_gamma 90.00
loop_
_atom_site_label
_atom_site_type_symbol
_atom_site_fract_x
_atom_site_fract_y
_atom_site_fract_z
_atom_site_occupancy
Li1 Li 0.000 0.000 0.000 1
Li2 Li 0.250 0.250 0.250 1
Ca1 Ca 0.250 0.250 0.750 1
Br1 Br 0.000 0.000 0.500 1
# Total magnetic moment: 0.00 μB/cell

arrangement a is preferred energetically. Next in line: 0.226 eV/atom higher.